1.
# ZrVSn2Pb

Crystalline ZrVSn2Pb at its relaxed geometry (GGA-PBE, Alexandria).

abc: 5.208 4.853 5.208
angles: 90.00 90.00 90.00
Fractional coordinates of all 5 atoms:
Sn: 0.500 0.000 0.000
V: 0.000 0.000 0.000
Pb: 0.500 0.500 0.500
Sn: 0.000 0.000 0.500
Zr: 0.000 0.500 0.000

Values from the calculation:
- DOS at the Fermi energy (states/eV/cell) = 5.05
- total moment (μB per atom) = 0.00
- V (Å³/f.u.) = 132
- energy (eV/atom) = -5.552


2.
# SnPbW3

Crystalline SnPbW3 at its relaxed geometry (GGA-PBE, Alexandria).

abc: 5.017 5.017 5.017
angles: 90.00 90.00 90.00
Fractional coordinates of all 5 atoms:
W: 0.500 0.000 0.000
Sn: 0.500 0.500 0.500
Pb: 0.000 0.000 0.000
W: 0.000 0.000 0.500
W: 0.000 0.500 0.000

Values from the calculation:
- DOS at the Fermi energy (states/eV/cell) = 5.74
- total moment (μB per atom) = 0.00
- V (Å³/f.u.) = 126
- energy (eV/atom) = -6.329


3.
# Sn2PbW

Crystalline Sn2PbW at its relaxed geometry (GGA-PBE, Alexandria).

abc: 4.236 4.236 11.116
angles: 79.02 79.02 90.00
Fractional coordinates of all 8 atoms:
Sn: 0.375 0.382 0.750
W: 0.500 0.500 0.000
Pb: 0.000 0.000 0.000
W: 0.250 0.750 0.500
Pb: 0.750 0.250 0.500
Sn: 0.875 0.868 0.750
Sn: 0.618 0.125 0.250
Sn: 0.132 0.625 0.250

Values from the calculation:
- DOS at the Fermi energy (states/eV/cell) = 5.14
- total moment (μB per atom) = 0.00
- V (Å³/f.u.) = 96
- energy (eV/atom) = -5.275


4.
# SnPbW3

Crystalline SnPbW3 at its relaxed geometry (GGA-PBE, Alexandria).

abc: 4.959 4.959 4.959
angles: 90.00 90.00 90.00
Fractional coordinates of all 5 atoms:
W: 0.000 0.500 0.000
Pb: 0.500 0.500 0.500
W: 0.000 0.000 0.500
Sn: 0.000 0.000 0.000
W: 0.500 0.000 0.000

Values from the calculation:
- DOS at the Fermi energy (states/eV/cell) = 7.53
- total moment (μB per atom) = 0.00
- V (Å³/f.u.) = 122
- energy (eV/atom) = -6.723


Which of these has the highest DOS at the Fermi energy? number 4